VASP calculation (SCAN) on a PBEsol-optimized structure of Ba2SiO4.

Output
Formation energy (no corrections) (eV per atom): -3.257
Crystal system: orthorhombic
DOS at the Fermi energy (states/eV per atom): 0.0000
M_tot (μB/atom): 0.00

Cell and atoms, written as POSCAR:
```
Ba2SiO4
1.0
7.507 0.000 0.000
0.000 5.781 0.000
0.000 0.000 10.231
Ba Si O
8 4 16
Direct
0.009 0.250 0.193
0.159 0.750 0.416
0.341 0.250 0.916
0.491 0.750 0.693
0.509 0.250 0.307
0.659 0.750 0.084
0.841 0.250 0.584
0.991 0.750 0.807
0.228 0.750 0.079
0.272 0.250 0.579
0.728 0.750 0.421
0.772 0.250 0.921
0.010 0.750 0.084
0.191 0.017 0.650
0.191 0.483 0.650
0.192 0.250 0.428
0.308 0.750 0.928
0.309 0.517 0.150
0.309 0.983 0.150
0.490 0.250 0.584
0.510 0.750 0.416
0.691 0.017 0.850
0.691 0.483 0.850
0.692 0.250 0.072
0.808 0.750 0.572
0.809 0.517 0.350
0.809 0.983 0.350
0.990 0.250 0.916
```

---

VASP calculation (SCAN) on a PBEsol-optimized structure of BaSi2O5.

Output
Formation energy (no corrections) (eV per atom): -3.091
Crystal system: orthorhombic
DOS at the Fermi energy (states/eV per atom): 0.0000
M_tot (μB/atom): 0.00

Cell and atoms, written as POSCAR:
```
BaSi2O5
1.0
5.134 0.000 0.000
0.000 7.456 0.000
0.000 0.000 13.163
Ba Si O
4 8 20
Direct
0.192 0.250 0.038
0.308 0.750 0.538
0.692 0.250 0.462
0.808 0.750 0.962
0.189 0.039 0.301
0.189 0.461 0.301
0.311 0.539 0.801
0.311 0.961 0.801
0.689 0.039 0.199
0.689 0.461 0.199
0.811 0.539 0.699
0.811 0.961 0.699
0.105 0.045 0.718
0.105 0.455 0.718
0.149 0.250 0.265
0.218 0.525 0.916
0.218 0.975 0.916
0.282 0.025 0.416
0.282 0.475 0.416
0.351 0.750 0.765
0.395 0.545 0.218
0.395 0.955 0.218
0.605 0.045 0.782
0.605 0.455 0.782
0.649 0.250 0.235
0.718 0.525 0.584
0.718 0.975 0.584
0.782 0.025 0.084
0.782 0.475 0.084
0.851 0.750 0.735
0.895 0.545 0.282
0.895 0.955 0.282
```

---

VASP calculation (SCAN) on a PBEsol-optimized structure of Ba3SiO.

Output
Formation energy (no corrections) (eV per atom): -1.298
Crystal system: cubic
DOS at the Fermi energy (states/eV per atom): 0.0230
M_tot (μB/atom): 0.00

Cell and atoms, written as POSCAR:
```
Ba3SiO
1.0
5.335 0.000 0.000
0.000 5.335 0.000
0.000 0.000 5.335
Ba Si O
3 1 1
Direct
0.000 0.000 0.500
0.000 0.500 0.000
0.500 0.000 0.000
0.500 0.500 0.500
0.000 0.000 0.000
```

---

VASP calculation (SCAN) on a PBEsol-optimized structure of BaTiSi3O9.

Output
Formation energy (no corrections) (eV per atom): -3.214
Crystal system: hexagonal
DOS at the Fermi energy (states/eV per atom): 0.0000
M_tot (μB/atom): 0.00

Cell and atoms, written as POSCAR:
```
BaTiSi3O9
1.0
6.648 0.000 0.000
-3.324 5.757 0.000
0.000 0.000 9.838
Ba Ti Si O
2 2 6 18
Direct
0.000 0.000 0.000
0.000 0.000 0.500
0.333 0.667 0.000
0.333 0.667 0.500
0.447 0.043 0.250
0.447 0.403 0.750
0.597 0.043 0.750
0.597 0.553 0.250
0.957 0.403 0.250
0.957 0.553 0.750
0.098 0.420 0.113
0.098 0.420 0.387
0.098 0.678 0.613
0.098 0.678 0.887
0.322 0.420 0.613
0.322 0.420 0.887
0.322 0.902 0.113
0.322 0.902 0.387
0.410 0.138 0.750
0.410 0.272 0.250
0.580 0.678 0.113
0.580 0.678 0.387
0.580 0.902 0.613
0.580 0.902 0.887
0.728 0.138 0.250
0.728 0.590 0.750
0.862 0.272 0.750
0.862 0.590 0.250
```

---

VASP calculation (SCAN) on a PBEsol-optimized structure of BaTiSi3O9.

Output
Formation energy (no corrections) (eV per atom): -3.214
Crystal system: trigonal
DOS at the Fermi energy (states/eV per atom): 0.0000
M_tot (μB/atom): 0.00

Cell and atoms, written as POSCAR:
```
BaTiSi3O9
1.0
11.514 0.000 0.000
-5.757 9.971 0.000
0.000 0.000 9.837
Ba Ti Si O
6 6 18 54
Direct
0.000 0.000 0.000
0.000 0.000 0.500
0.333 0.667 0.491
0.333 0.667 0.991
0.667 0.333 0.491
0.667 0.333 0.991
0.000 0.333 0.494
0.000 0.333 0.994
0.333 0.000 0.494
0.333 0.000 0.994
0.667 0.667 0.494
0.667 0.667 0.994
0.050 0.546 0.243
0.120 0.837 0.246
0.163 0.283 0.246
0.170 0.787 0.743
0.213 0.383 0.743
0.283 0.163 0.746
0.383 0.213 0.243
0.454 0.503 0.243
0.497 0.950 0.243
0.503 0.454 0.743
0.546 0.050 0.743
0.617 0.830 0.743
0.717 0.880 0.246
0.787 0.170 0.243
0.830 0.617 0.243
0.837 0.120 0.746
0.880 0.717 0.746
0.950 0.497 0.743
0.045 0.817 0.742
0.074 0.248 0.109
0.075 0.246 0.384
0.086 0.492 0.380
0.086 0.496 0.105
0.106 0.622 0.744
0.150 0.711 0.246
0.160 0.418 0.881
0.161 0.421 0.606
0.171 0.925 0.384
0.175 0.926 0.109
0.183 0.228 0.742
0.228 0.183 0.242
0.246 0.075 0.884
0.248 0.074 0.609
0.258 0.840 0.881
0.260 0.839 0.606
0.289 0.439 0.246
0.378 0.484 0.744
0.406 0.914 0.380
0.409 0.914 0.105
0.418 0.160 0.381
0.421 0.161 0.106
0.439 0.289 0.746
0.484 0.378 0.244
0.492 0.086 0.880
0.496 0.086 0.605
0.504 0.591 0.105
0.508 0.594 0.380
0.516 0.894 0.744
0.561 0.850 0.246
0.579 0.740 0.606
0.582 0.742 0.881
0.591 0.504 0.605
0.594 0.508 0.880
0.622 0.106 0.244
0.711 0.150 0.746
0.740 0.579 0.106
0.742 0.582 0.381
0.752 0.825 0.109
0.754 0.829 0.384
0.772 0.955 0.742
0.817 0.045 0.242
0.825 0.752 0.609
0.829 0.754 0.884
0.839 0.260 0.106
0.840 0.258 0.381
0.850 0.561 0.746
0.894 0.516 0.244
0.914 0.406 0.880
0.914 0.409 0.605
0.925 0.171 0.884
0.926 0.175 0.609
0.955 0.772 0.242
```

---

VASP calculation (SCAN) on a PBEsol-optimized structure of BaVSi2O7.

Output
Formation energy (no corrections) (eV per atom): -3.061
Crystal system: tetragonal
DOS at the Fermi energy (states/eV per atom): 0.0000
M_tot (μB/atom): 0.09

Cell and atoms, written as POSCAR:
```
BaVSi2O7
1.0
-3.529 3.529 5.695
3.529 -3.529 5.695
3.529 3.529 -5.695
Ba V Si O
2 2 4 14
Direct
0.250 0.750 0.500
0.750 0.250 0.500
0.162 0.162 0.000
0.838 0.838 0.000
0.258 0.710 0.968
0.290 0.258 0.548
0.710 0.742 0.452
0.742 0.290 0.032
0.041 0.667 0.949
0.093 0.041 0.374
0.226 0.480 0.706
0.281 0.907 0.949
0.304 0.304 0.000
0.333 0.281 0.374
0.480 0.774 0.254
0.520 0.226 0.746
0.667 0.719 0.626
0.696 0.696 0.000
0.719 0.093 0.051
0.774 0.520 0.294
0.907 0.959 0.626
0.959 0.333 0.051
```

---

VASP calculation (SCAN) on a PBEsol-optimized structure of Ba2VSi2O8.

Output
Formation energy (no corrections) (eV per atom): -3.145
Crystal system: tetragonal
DOS at the Fermi energy (states/eV per atom): 0.0000
M_tot (μB/atom): 0.08

Cell and atoms, written as POSCAR:
```
Ba2VSi2O8
1.0
8.496 0.000 0.000
0.000 8.496 0.000
0.000 0.000 5.224
Ba V Si O
4 2 4 16
Direct
0.171 0.329 0.000
0.329 0.829 0.000
0.671 0.171 0.000
0.829 0.671 0.000
0.000 0.000 0.543
0.500 0.500 0.543
0.130 0.630 0.523
0.370 0.130 0.523
0.630 0.870 0.523
0.870 0.370 0.523
0.000 0.000 0.230
0.000 0.500 0.638
0.078 0.796 0.658
0.129 0.629 0.216
0.204 0.078 0.658
0.296 0.578 0.658
0.371 0.129 0.216
0.422 0.296 0.658
0.500 0.000 0.638
0.500 0.500 0.230
0.578 0.704 0.658
0.629 0.871 0.216
0.704 0.422 0.658
0.796 0.922 0.658
0.871 0.371 0.216
0.922 0.204 0.658
```

---

VASP calculation (SCAN) on a PBEsol-optimized structure of Ba2ZnSi2O7.

Output
Formation energy (no corrections) (eV per atom): -2.998
Crystal system: monoclinic
DOS at the Fermi energy (states/eV per atom): 0.0000
M_tot (μB/atom): 0.00

Cell and atoms, written as POSCAR:
```
Ba2ZnSi2O7
1.0
4.222 -5.360 0.000
4.222 5.360 0.000
-3.047 0.000 7.879
Ba Zn Si O
4 2 4 14
Direct
0.184 0.269 0.474
0.269 0.184 0.974
0.731 0.816 0.026
0.816 0.731 0.526
0.258 0.742 0.250
0.742 0.258 0.750
0.167 0.605 0.863
0.395 0.833 0.637
0.605 0.167 0.363
0.833 0.395 0.137
0.022 0.761 0.867
0.042 0.355 0.764
0.239 0.978 0.633
0.326 0.619 0.045
0.335 0.665 0.750
0.355 0.042 0.264
0.381 0.674 0.455
0.619 0.326 0.545
0.645 0.958 0.736
0.665 0.335 0.250
0.674 0.381 0.955
0.761 0.022 0.367
0.958 0.645 0.236
0.978 0.239 0.133
```